The following is a PBE+U calculation of Na3Ag3W2O6F6 after structural relaxation, from Alexandria via LeMat-Bulk.

Cell lengths 5.8505, 5.8505, 29.0855 Å; angles 90.00, 90.00, 120.00 degrees
Space group R-3 (No. 148, hexagonal axes)
Unique sites:
Na1 0.0000 0.0000 0.0000 x3
Na2 0.0000 0.0000 0.3671 x6
Ag1 0.0000 0.0000 0.1304 x6
Ag2 0.0000 0.0000 0.5000 x3
W1 0.0000 0.0000 0.2457 x6
O1 0.0322 0.7388 0.2174 x18
F1 0.0328 0.7591 0.7042 x18

Output
**V**: 14.37 Å³ per atom
**Fermi-level density of states**: 0.00 states/eV/f.u.
**Total DFT energy (no corrections)**: -5.336 eV/atom